*one*
Compound: Cr2FeNi
Source: Alexandria
Functional: PBE
Structure: optimized geometry

Cell: 4.0697 2.4195 4.5582 Å, 85.88 90.00 90.00°
With the nearest neighbours (Å) after each atom.
Sites, in units of the cell vectors:
Cr1 0.0000 0.0561 0.9734  4 Cr 2.42-2.50, 4 Ni 2.47-2.60, 4 Fe 2.49-2.70
Cr2 0.5000 0.2196 0.2755  4 Cr 2.42-2.50, 4 Fe 2.42-2.67, 3 Ni 2.43-2.59
Fe1 0.0000 0.5827 0.4757  2 Fe 2.42, 8 Cr 2.42-2.70, 2 Ni 2.46
Ni1 0.5000 0.6416 0.7755  2 Ni 2.42, 7 Cr 2.43-2.60, 2 Fe 2.46

## Properties
For the total magnetization, the calculation gives 1.5 Bohr magnetons per cell. As for the space group: Pm, No. 6.

=====

*two*
Compound: Cr2FeNi
Source: Alexandria
Functional: PBE
Structure: optimized geometry

Cell: 3.5104 3.5078 3.5775 Å, 90.00 90.00 90.00°
With the nearest neighbours (Å) after each atom.
Sites, in units of the cell vectors:
Cr1 0.0000 0.0000 0.0000  4 Cr 2.48, 4 Ni 2.51, 4 Fe 2.51
Cr2 0.5000 0.5000 0.0000  4 Cr 2.48, 4 Fe 2.51, 4 Ni 2.51
Fe1 0.5000 0.0000 0.5000  4 Ni 2.48, 8 Cr 2.51
Ni1 0.0000 0.5000 0.5000  4 Fe 2.48, 8 Cr 2.51

## Properties
For the total magnetization, the calculation gives 0.2 Bohr magnetons per cell. As for the space group: P4/mmm, No. 123.

=====

*three*
Compound: Cr2FeNi
Source: Alexandria
Functional: PBE
Structure: optimized geometry

Cell: 2.9257 2.9257 5.4545 Å, 90.00 90.00 90.00°
With the nearest neighbours (Å) after each atom.
Sites, in units of the cell vectors:
Cr1 0.0000 0.0000 0.0069  4 Cr 2.45, 4 Ni 2.51, 1 Fe 2.69
Cr2 0.5000 0.5000 0.2480  4 Cr 2.45, 4 Fe 2.48, 2 Ni 2.71-2.74
Fe1 0.0000 0.0000 0.4998  4 Ni 2.46, 5 Cr 2.48-2.69
Ni1 0.5000 0.5000 0.7452  4 Fe 2.46, 6 Cr 2.51-2.74

## Properties
For the total magnetization, the calculation gives 3.4 Bohr magnetons per cell. As for the space group: P4mm, No. 99.

=====

*four*
Compound: Cr2FeNi
Source: Alexandria
Functional: PBE
Structure: optimized geometry

Cell: 5.5397 4.3942 2.4663 Å, 90.19 63.29 120.29°
With the nearest neighbours (Å) after each atom.
Sites, in units of the cell vectors:
Cr1 0.0000 0.0000 0.0000  4 Cr 2.47, 4 Fe 2.52, 4 Ni 2.52
Cr2 0.5000 0.0000 0.5000  4 Cr 2.47, 4 Ni 2.52, 4 Fe 2.52
Fe1 0.0000 0.5000 0.5000  2 Fe 2.47, 2 Ni 2.47, 8 Cr 2.52
Ni1 0.5000 0.5000 0.0000  2 Ni 2.47, 2 Fe 2.47, 8 Cr 2.52

## Properties
For the total magnetization, the calculation gives 0.3 Bohr magnetons per cell. As for the space group: C2/m, No. 12.

=====

The structure with the most favorable energy is *two*; the runner-up is 21 meV/atom above it.

=====

*one*
Compound: CrFeNi4
Source: Alexandria
Functional: PBE
Structure: optimized geometry

Cell: 4.1223 4.9232 7.2136 Å, 70.04 90.02 90.06°
With the nearest neighbours (Å) after each atom.
Sites, in units of the cell vectors:
Cr1 0.2500 0.8017 0.8966  8 Ni 2.45-2.53, 4 Fe 2.46-2.49
Cr2 0.7500 0.1983 0.1034  8 Ni 2.45-2.53, 4 Fe 2.46-2.49
Fe1 0.2500 0.3017 0.8965  8 Ni 2.45-2.53, 4 Cr 2.46-2.49
Fe2 0.7500 0.6983 0.1035  8 Ni 2.45-2.53, 4 Cr 2.46-2.49
Ni1 0.7536 0.2925 0.4154  7 Ni 2.36-2.48, 1 Fe 2.45, 1 Cr 2.45
Ni2 0.7517 0.1097 0.7811  5 Ni 2.45-2.48, 3 Cr 2.51-2.53, 3 Fe 2.51-2.53
Ni3 0.2536 0.2079 0.5846  7 Ni 2.36-2.48, 1 Fe 2.45, 1 Cr 2.45
Ni4 0.2517 0.3908 0.2189  5 Ni 2.45-2.48, 3 Cr 2.51-2.53, 3 Fe 2.51-2.53
Ni5 0.2464 0.7075 0.5846  7 Ni 2.36-2.48, 1 Fe 2.45, 1 Cr 2.45
Ni6 0.7464 0.7921 0.4154  7 Ni 2.36-2.48, 1 Fe 2.45, 1 Cr 2.45
Ni7 0.2483 0.8903 0.2189  5 Ni 2.45-2.48, 3 Cr 2.51-2.53, 3 Fe 2.51-2.53
Ni8 0.7483 0.6092 0.7811  5 Ni 2.45-2.48, 3 Cr 2.51-2.53, 3 Fe 2.51-2.53

## Properties
For the total magnetization, the calculation gives 4.0 Bohr magnetons per cell. As for the space group: C2/c, No. 15.

=====

*two*
Compound: CrFeNi4
Source: Alexandria
Functional: PBE
Structure: optimized geometry

Cell: 4.7948 4.8115 7.2994 Å, 99.90 99.80 118.69°
With the nearest neighbours (Å) after each atom.
Sites, in units of the cell vectors:
Cr1 0.8750 0.1250 0.2500  8 Ni 2.43-2.49, 2 Fe 2.45
Cr2 0.1250 0.8750 0.7500  8 Ni 2.43-2.49, 2 Fe 2.45
Fe1 0.3750 0.6250 0.2500  8 Ni 2.42-2.49, 2 Cr 2.45
Fe2 0.6250 0.3750 0.7500  8 Ni 2.42-2.49, 2 Cr 2.45
Ni1 0.2178 0.9670 0.4351  2 Fe 2.42-2.49, 2 Cr 2.43-2.49, 7 Ni 2.45-2.57
Ni2 0.0330 0.7821 0.0649  2 Fe 2.42-2.49, 2 Cr 2.43-2.49, 7 Ni 2.45-2.57
Ni3 0.2827 0.5319 0.5649  2 Fe 2.42-2.49, 2 Cr 2.43-2.49, 7 Ni 2.45-2.57
Ni4 0.4681 0.7172 0.9351  2 Fe 2.42-2.49, 2 Cr 2.43-2.49, 7 Ni 2.45-2.57
Ni5 0.7822 0.0330 0.5649  2 Fe 2.42-2.49, 2 Cr 2.43-2.49, 7 Ni 2.45-2.57
Ni6 0.7173 0.4681 0.4351  2 Fe 2.42-2.49, 2 Cr 2.43-2.49, 7 Ni 2.45-2.57
Ni7 0.9670 0.2179 0.9351  2 Fe 2.42-2.49, 2 Cr 2.43-2.49, 7 Ni 2.45-2.57
Ni8 0.5319 0.2828 0.0649  2 Fe 2.42-2.49, 2 Cr 2.43-2.49, 7 Ni 2.45-2.57

## Properties
For the total magnetization, the calculation gives 2.6 Bohr magnetons per cell. As for the space group: C2/c, No. 15.

=====

The structure with the most favorable energy is *one*; the runner-up is 27 meV/atom above it.